[1]
# CaEuCuSn

Crystalline CaEuCuSn at its relaxed geometry (PBE, Alexandria via LeMat-Bulk).

Cell lengths 7.5306, 7.5306, 7.5306 Å; angles 90.00, 90.00, 90.00 degrees
Last column: nearest neighbours and their distance in Å.
Space group F-43m (No. 216)
Symmetry-distinct sites (fractional):
Ca 0.0000 0.0000 0.0000 [4 per cell]  4 Sn 3.26, 4 Cu 3.26
Eu 0.0000 0.0000 0.5000 [4 per cell]  4 Cu 3.26, 4 Sn 3.26
Cu 0.2500 0.2500 0.2500 [4 per cell]  4 Ca 3.26, 4 Eu 3.26
Sn 0.2500 0.2500 0.7500 [4 per cell]  4 Ca 3.26, 4 Eu 3.26

Calculated values
The calculation puts the density at 5.82 g cm⁻³. The calculation puts the formation energy at -0.38 eV/atom. Its uncorrected energy is -5.47 eV/atom.


[2]
# Th2Cu5Ni

Crystalline Th2Cu5Ni at its relaxed geometry (PBE, Alexandria via LeMat-Bulk).

Cell lengths 4.0986, 15.3800, 8.8953 Å; angles 90.00, 90.00, 90.00 degrees
Last column: nearest neighbours and their distance in Å.
Space group Cmcm (No. 63)
Symmetry-distinct sites (fractional):
Th 0.0000 0.0000 0.0000 [4 per cell]  6 Cu 2.98-3.11, 4 Ni 3.16
Th 0.0000 0.1977 0.2500 [4 per cell]  2 Ni 2.94, 11 Cu 2.99-3.25
Cu 0.0000 0.1824 0.6140 [8 per cell]  6 Cu 2.41-2.70
Cu 0.0000 0.3481 0.5186 [8 per cell]  4 Cu 2.41-2.69, 1 Ni 2.49
Cu 0.0000 0.4004 0.2500 [4 per cell]  1 Ni 2.46, 6 Cu 2.52-2.70
Ni 0.0000 0.4396 0.7500 [4 per cell]  3 Cu 2.46-2.49

Calculated values
The calculation puts the density at 9.96 g cm⁻³. The calculation puts the formation energy at -0.18 eV/atom. Its uncorrected energy is -5.32 eV/atom.


[3]
# Pr2SmScS4

Crystalline Pr2SmScS4 at its relaxed geometry (PBE, Alexandria via LeMat-Bulk).

Cell lengths 6.8714, 3.9281, 7.0077 Å; angles 90.00, 108.73, 90.00 degrees
Last column: nearest neighbours and their distance in Å.
Space group P2/m (No. 10)
Symmetry-distinct sites (fractional):
Pr 0.0000 0.0000 0.0000 [1 per cell]  6 S 2.96
Pr 0.5000 0.5000 0.0000 [1 per cell]  6 S 2.86
Sm 0.0000 0.5000 0.5000 [1 per cell]  6 S 2.79
Sc 0.5000 0.0000 0.5000 [1 per cell]  6 S 2.68-2.69
S 0.2561 0.0000 0.7322 [2 per cell]  1 Sc 2.68, 2 Sm 2.79, 3 Pr 2.86-2.96
S 0.2709 0.5000 0.2762 [2 per cell]  2 Sc 2.69, 1 Sm 2.79, 3 Pr 2.86-2.96

Calculated values
The uncorrected formation energy comes out at -1954 meV per atom. The calculation puts the density at 5.61 g cm⁻³. Its uncorrected energy is -6.59 eV/atom.


[4]
# SiSnP2

Crystalline SiSnP2 at its relaxed geometry (PBE, Alexandria via LeMat-Bulk).

Cell lengths 9.0436, 5.5579, 13.8216 Å; angles 90.00, 90.00, 90.00 degrees
Last column: nearest neighbours and their distance in Å.
Space group Pnma (No. 62)
Symmetry-distinct sites (fractional):
Si 0.0451 0.2500 0.0521 [4 per cell]  3 P 2.29
Si 0.2232 0.2500 0.5609 [4 per cell]  4 P 2.26-2.28
Sn 0.0148 0.7500 0.6251 [4 per cell]  4 P 2.74-2.89
Sn 0.1261 0.2500 0.8608 [4 per cell]  1 Si 2.74, 4 P 2.92-3.02
P 0.0256 0.7500 0.4268 [4 per cell]  1 Si 2.26
P 0.1632 0.0130 0.1631 [8 per cell]  2 Si 2.28-2.29
P 0.1992 0.7500 0.9053 [4 per cell]  2 Si 2.26-2.29

Calculated values
The uncorrected formation energy comes out at 120 meV per atom. The calculation puts the density at 3.99 g cm⁻³. Its uncorrected energy is -4.94 eV/atom. For the offset from the most stable computed form, the calculation gives 73 meV/atom.